# PBE GaRuPt2W, relaxed
# **ΔH_f (0 K)**: 1.558 eV per atom
# **Density**: 11982 kg/m3
# **Electronic total energy**: -29.5 eV/cell
data_GaRuPt2W
_chemical_formula_sum 'Ga1 Ru1 Pt2 W1'
_cell_length_a 4.785
_cell_length_b 4.785
_cell_length_c 4.509
_cell_angle_alpha 90.00
_cell_angle_beta 90.00
_cell_angle_gamma 90.00
_space_group_name_H-M_alt 'P 1'
_space_group_IT_number 1
loop_
_space_group_symop_operation_xyz
'x,y,z'
loop_
_atom_site_label
_atom_site_fract_x
_atom_site_fract_y
_atom_site_fract_z
_atom_site_occupancy
Ga1 0.000 0.000 0.000 1
Ru1 0.000 0.000 0.500 1
Pt1 0.000 0.500 0.500 1
Pt2 0.500 0.000 0.500 1
W1 0.500 0.500 0.000 1